SiAsSe2N GGA-PBE relaxed; space group = No. 123; calculated total energy = -4.133 eV per atom; formation energy from raw total energies = 4.7 eV per formula unit; DOS at the Fermi energy = 3.31 states/eV/f.u.; excess energy over the best structure of this formula in the dataset = 594 meV per atom
1.0
5.149 0.000 0.000
0.000 5.149 0.000
0.000 0.000 3.646
Si As Se N
1 1 2 1
Cartesian
0.000 0.000 0.000
2.575 2.575 1.823
0.000 2.575 1.823
2.575 0.000 1.823
2.575 2.575 0.000